# 1
## LiThIrPt (PBE)

Data for an optimized crystal structure of LiThIrPt. Values from VASP.

Its uncorrected energy is -0.496 Ry/atom. As for the symmetry: F-43m, No. 216. As for the formation energy: -0.68 eV per atom. As for the density of states at the Fermi level: 0.455 states/eV per atom.

The structure in Quantum ESPRESSO input format:
```
&SYSTEM
  ibrav = 0, nat = 4, ntyp = 4
/
ATOMIC_SPECIES
Ir 192.22 Ir.upf
Pt 195.08 Pt.upf
Th 232.04 Th.upf
Li 6.94 Li.upf
ATOMIC_POSITIONS crystal
Ir 0.500 0.500 0.500
Pt 0.000 0.000 0.000
Th 0.250 0.250 0.250
Li 0.750 0.750 0.750
CELL_PARAMETERS angstrom
-1.807 -4.396 -0.617
2.518 -3.314 -2.376
1.889 -3.721 2.358
```

# 2
## Li2TiIrPt (PBE)

Data for an optimized crystal structure of Li2TiIrPt. Values from VASP.

Its uncorrected energy is -0.323 Ry/atom. As for the symmetry: P4/mmm, No. 123. As for the formation energy: 0.92 eV per atom. As for the density of states at the Fermi level: 0.550 states/eV per atom.

The structure in Quantum ESPRESSO input format:
```
&SYSTEM
  ibrav = 0, nat = 5, ntyp = 4
/
ATOMIC_SPECIES
Ir 192.22 Ir.upf
Li 6.94 Li.upf
Pt 195.08 Pt.upf
Ti 47.87 Ti.upf
ATOMIC_POSITIONS crystal
Ir 0.000 0.000 0.500
Li 0.000 0.500 0.000
Li 0.500 0.000 0.000
Pt 0.500 0.500 0.500
Ti 0.000 0.000 0.000
CELL_PARAMETERS angstrom
4.413 0.000 0.000
0.000 4.413 0.000
0.000 0.000 4.416
```

# 3
## LiUIrPt (PBE)

Data for an optimized crystal structure of LiUIrPt. Values from VASP.

Its uncorrected energy is -0.552 Ry/atom. As for the symmetry: F-43m, No. 216. As for the formation energy: -0.48 eV per atom. As for the density of states at the Fermi level: 1.447 states/eV per atom.

The structure in Quantum ESPRESSO input format:
```
&SYSTEM
  ibrav = 0, nat = 4, ntyp = 4
/
ATOMIC_SPECIES
Ir 192.22 Ir.upf
U 238.03 U.upf
Pt 195.08 Pt.upf
Li 6.94 Li.upf
ATOMIC_POSITIONS crystal
Ir 0.250 0.250 0.250
U 0.000 0.000 0.000
Pt 0.750 0.750 0.750
Li 0.500 0.500 0.500
CELL_PARAMETERS angstrom
4.640 0.000 0.000
2.320 4.018 0.000
2.320 1.339 3.788
```

# 4
## LiPu2Ir2 (PBE)

Data for an optimized crystal structure of LiPu2Ir2. Values from VASP.

The energy above the most stable polymorph in this dataset comes out at 0 meV per atom. Its uncorrected energy is -0.741 Ry/atom. As for the symmetry: Immm, No. 71. As for the formation energy: -0.42 eV per atom. As for the density of states at the Fermi level: 2.804 states/eV per atom.

The structure in Quantum ESPRESSO input format:
```
&SYSTEM
  ibrav = 0, nat = 5, ntyp = 3
/
ATOMIC_SPECIES
Li 6.94 Li.upf
Pu 244.00 Pu.upf
Ir 192.22 Ir.upf
ATOMIC_POSITIONS crystal
Li 0.500 0.500 0.000
Pu 0.299 0.201 0.701
Pu 0.701 0.799 0.299
Ir 0.000 0.238 0.262
Ir 0.000 0.762 0.738
CELL_PARAMETERS angstrom
3.978 0.005 1.692
1.481 4.721 2.027
0.076 0.213 5.343
```

# 5
## LiPu6Ir5 (PBE)

Data for an optimized crystal structure of LiPu6Ir5. Values from VASP.

Its uncorrected energy is -0.837 Ry/atom. As for the symmetry: Immm, No. 71. As for the formation energy: -0.37 eV per atom. As for the density of states at the Fermi level: 3.198 states/eV per atom.

The structure in Quantum ESPRESSO input format:
```
&SYSTEM
  ibrav = 0, nat = 12, ntyp = 3
/
ATOMIC_SPECIES
Pu 244.00 Pu.upf
Ir 192.22 Ir.upf
Li 6.94 Li.upf
ATOMIC_POSITIONS crystal
Pu 0.258 0.083 0.433
Pu 0.742 0.567 0.917
Pu 0.766 0.266 0.266
Pu 0.234 0.734 0.734
Pu 0.258 0.433 0.083
Pu 0.742 0.917 0.567
Ir 0.500 0.145 0.855
Ir 0.000 0.334 0.666
Ir 0.500 0.500 0.500
Ir 0.000 0.666 0.334
Ir 0.500 0.855 0.145
Li 0.000 0.000 0.000
CELL_PARAMETERS angstrom
4.616 -0.004 -1.294
-3.474 6.874 -3.538
-0.129 -0.959 8.420
```

# 6
## LiPu2Ir (PBE)

Data for an optimized crystal structure of LiPu2Ir. Values from VASP.

Its uncorrected energy is -0.698 Ry/atom. As for the symmetry: P4/mmm, No. 123. As for the formation energy: 0.37 eV per atom. As for the density of states at the Fermi level: 2.183 states/eV per atom.

The structure in Quantum ESPRESSO input format:
```
&SYSTEM
  ibrav = 0, nat = 4, ntyp = 3
/
ATOMIC_SPECIES
Ir 192.22 Ir.upf
Li 6.94 Li.upf
Pu 244.00 Pu.upf
ATOMIC_POSITIONS crystal
Ir 0.500 0.500 0.500
Li 0.500 0.000 0.000
Pu 0.000 0.000 0.500
Pu 0.000 0.500 0.000
CELL_PARAMETERS angstrom
4.829 0.000 0.000
0.000 3.571 0.000
0.000 0.000 3.571
```

# 7
## LiPuIr4 (PBE)

Data for an optimized crystal structure of LiPuIr4. Values from VASP.

Its uncorrected energy is -0.660 Ry/atom. As for the symmetry: F-43m, No. 216. As for the formation energy: -0.36 eV per atom. As for the density of states at the Fermi level: 1.244 states/eV per atom.

The structure in Quantum ESPRESSO input format:
```
&SYSTEM
  ibrav = 0, nat = 6, ntyp = 3
/
ATOMIC_SPECIES
Ir 192.22 Ir.upf
Li 6.94 Li.upf
Pu 244.00 Pu.upf
ATOMIC_POSITIONS crystal
Ir 0.626 0.626 0.123
Ir 0.626 0.123 0.626
Ir 0.626 0.626 0.626
Ir 0.124 0.626 0.626
Li 0.000 0.000 0.000
Pu 0.250 0.250 0.250
CELL_PARAMETERS angstrom
5.263 0.000 0.000
2.632 4.558 0.000
2.632 1.519 4.298
```

# 8
## LiPu2Ir (PBE)

Data for an optimized crystal structure of LiPu2Ir. Values from VASP.

Its uncorrected energy is -0.734 Ry/atom. As for the symmetry: P4/mmm, No. 123. As for the formation energy: -0.12 eV per atom. As for the density of states at the Fermi level: 2.908 states/eV per atom.

The structure in Quantum ESPRESSO input format:
```
&SYSTEM
  ibrav = 0, nat = 4, ntyp = 3
/
ATOMIC_SPECIES
Ir 192.22 Ir.upf
Li 6.94 Li.upf
Pu 244.00 Pu.upf
ATOMIC_POSITIONS crystal
Ir 0.500 0.500 0.000
Li 0.500 0.500 0.500
Pu 0.000 0.000 0.796
Pu 0.000 0.000 0.204
CELL_PARAMETERS angstrom
3.324 0.000 0.000
0.000 3.324 0.000
0.000 0.000 8.568
```

# 9
## LiPu3Ir8 (PBE)

Data for an optimized crystal structure of LiPu3Ir8. Values from VASP.

Its uncorrected energy is -0.744 Ry/atom. As for the symmetry: R3m, No. 160. As for the formation energy: -0.47 eV per atom. As for the density of states at the Fermi level: 1.979 states/eV per atom.

The structure in Quantum ESPRESSO input format:
```
&SYSTEM
  ibrav = 0, nat = 12, ntyp = 3
/
ATOMIC_SPECIES
Li 6.94 Li.upf
Pu 244.00 Pu.upf
Ir 192.22 Ir.upf
ATOMIC_POSITIONS crystal
Li 0.872 0.872 0.385
Pu 0.377 0.377 0.869
Pu 0.995 0.995 0.014
Pu 0.504 0.504 0.488
Ir 0.939 0.437 0.188
Ir 0.438 0.938 0.686
Ir 0.437 0.437 0.188
Ir 0.938 0.938 0.686
Ir 0.188 0.188 0.436
Ir 0.688 0.688 0.937
Ir 0.437 0.939 0.188
Ir 0.938 0.438 0.686
CELL_PARAMETERS angstrom
-3.025 0.030 4.374
1.432 -2.869 4.243
3.959 5.818 5.931
```

# 10
## LiPu4Ir3 (PBE)

Data for an optimized crystal structure of LiPu4Ir3. Values from VASP.

Its uncorrected energy is -0.820 Ry/atom. As for the symmetry: I4/mcm, No. 140. As for the formation energy: -0.43 eV per atom. As for the density of states at the Fermi level: 3.058 states/eV per atom.

The structure in Quantum ESPRESSO input format:
```
&SYSTEM
  ibrav = 0, nat = 16, ntyp = 3
/
ATOMIC_SPECIES
Pu 244.00 Pu.upf
Ir 192.22 Ir.upf
Li 6.94 Li.upf
ATOMIC_POSITIONS crystal
Pu 0.418 0.309 0.855
Pu 0.582 0.691 0.145
Pu 0.727 0.855 0.691
Pu 0.082 0.145 0.691
Pu 0.273 0.145 0.309
Pu 0.918 0.855 0.309
Pu 0.773 0.309 0.145
Pu 0.227 0.691 0.855
Ir 0.750 0.000 0.000
Ir 0.250 0.000 0.000
Ir 0.341 0.818 0.500
Ir 0.659 0.182 0.500
Ir 0.159 0.500 0.182
Ir 0.841 0.500 0.818
Li 0.750 0.500 0.500
Li 0.250 0.500 0.500
CELL_PARAMETERS angstrom
-4.109 3.406 -1.315
-4.773 -3.494 -5.622
-6.374 -1.361 4.910
```

# 11
## LiPu2Ir2 (PBE)

Data for an optimized crystal structure of LiPu2Ir2. Values from VASP.

The energy above the most stable polymorph in this dataset comes out at 51 meV per atom. Its uncorrected energy is -0.737 Ry/atom. As for the symmetry: P4/mbm, No. 127. As for the formation energy: -0.37 eV per atom. As for the density of states at the Fermi level: 2.613 states/eV per atom.

The structure in Quantum ESPRESSO input format:
```
&SYSTEM
  ibrav = 0, nat = 10, ntyp = 3
/
ATOMIC_SPECIES
Li 6.94 Li.upf
Pu 244.00 Pu.upf
Ir 192.22 Ir.upf
ATOMIC_POSITIONS crystal
Li 0.000 0.000 0.000
Li 0.000 0.500 0.500
Pu 0.500 0.161 0.661
Pu 0.500 0.661 0.839
Pu 0.500 0.839 0.339
Pu 0.500 0.339 0.161
Ir 0.000 0.358 0.858
Ir 0.000 0.858 0.642
Ir 0.000 0.642 0.142
Ir 0.000 0.142 0.358
CELL_PARAMETERS angstrom
-1.044 2.225 -2.696
-7.183 -1.581 1.477
-0.268 5.732 4.833
```

# 12
## LiPu2Ir (PBE)

Data for an optimized crystal structure of LiPu2Ir. Values from VASP.

Its uncorrected energy is -0.710 Ry/atom. As for the symmetry: R-3m, No. 166. As for the formation energy: 0.19 eV per atom. As for the density of states at the Fermi level: 2.696 states/eV per atom.

The structure in Quantum ESPRESSO input format:
```
&SYSTEM
  ibrav = 0, nat = 4, ntyp = 3
/
ATOMIC_SPECIES
Ir 192.22 Ir.upf
Li 6.94 Li.upf
Pu 244.00 Pu.upf
ATOMIC_POSITIONS crystal
Ir 0.500 0.500 0.500
Li 0.000 0.000 0.000
Pu 0.092 0.092 0.725
Pu 0.908 0.908 0.275
CELL_PARAMETERS angstrom
2.899 0.000 0.000
1.450 2.511 0.000
1.450 0.837 11.113
```